w) Material: InSb3Mo
Method: DFT, PBE-GGA
State: optimized geometry

Calculated values
- Density of states at the Fermi level: 0.6567 states/eV/atom

Unit cell a=5.296 b=5.296 c=5.296 alpha=90.00 beta=90.00 gamma=90.00
Space group Pm-3m (No. 221)
Symmetry-distinct sites (fractional):
In 0.000 0.000 0.000
Sb 0.000 0.500 0.500
Mo 0.500 0.500 0.500

=====

x) Material: InSb3Mo
Method: DFT, PBE-GGA
State: optimized geometry

Calculated values
- Density of states at the Fermi level: 0.8186 states/eV/atom

Unit cell a=5.518 b=5.518 c=5.518 alpha=90.00 beta=90.00 gamma=90.00
Space group Pm-3m (No. 221)
Symmetry-distinct sites (fractional):
In 0.000 0.000 0.000
Sb 0.000 0.000 0.500
Mo 0.500 0.500 0.500

=====

Energy comparison, zero being the most stable, in meV per atom: w) 0; x) 1041.

=====

w) Material: InSbTe2Mo
Method: DFT, PBE-GGA
State: optimized geometry

Calculated values
- Density of states at the Fermi level: 1.1318 states/eV/atom

Unit cell a=5.404 b=5.404 c=5.268 alpha=90.00 beta=90.00 gamma=90.00
Space group P4/mmm (No. 123)
Symmetry-distinct sites (fractional):
In 0.000 0.000 0.000
Sb 0.500 0.500 0.000
Te 0.000 0.500 0.500
Mo 0.500 0.500 0.500

=====

x) Material: InSbTe2Mo
Method: DFT, PBE-GGA
State: optimized geometry

Calculated values
- Density of states at the Fermi level: 1.0149 states/eV/atom

Unit cell a=5.644 b=5.644 c=5.515 alpha=90.00 beta=90.00 gamma=90.00
Space group P4/mmm (No. 123)
Symmetry-distinct sites (fractional):
In 0.000 0.000 0.000
Sb 0.000 0.000 0.500
Te 0.000 0.500 0.000
Mo 0.500 0.500 0.500

=====

Energy comparison, zero being the most stable, in meV per atom: w) 0; x) 923.

=====

w) Material: InSbMo2W
Method: DFT, PBE-GGA
State: optimized geometry

Calculated values
- Density of states at the Fermi level: 1.6204 states/eV/atom

Unit cell a=4.902 b=4.902 c=4.915 alpha=90.00 beta=90.00 gamma=90.00
Space group P4/mmm (No. 123)
Symmetry-distinct sites (fractional):
In 0.000 0.000 0.000
Sb 0.500 0.500 0.500
Mo 0.000 0.500 0.500
W 0.500 0.500 0.000

=====

x) Material: InSbMo2W
Method: DFT, PBE-GGA
State: optimized geometry

Calculated values
- Density of states at the Fermi level: 1.6078 states/eV/atom

Unit cell a=4.938 b=4.938 c=5.117 alpha=90.00 beta=90.00 gamma=90.00
Space group P4/mmm (No. 123)
Symmetry-distinct sites (fractional):
In 0.000 0.000 0.000
Sb 0.000 0.000 0.500
Mo 0.000 0.500 0.000
W 0.500 0.500 0.500

=====

Energy comparison, zero being the most stable, in meV per atom: w) 0; x) 827.

=====

w) Material: ScInMo3
Method: DFT, PBE-GGA
State: optimized geometry

Calculated values
- Density of states at the Fermi level: 1.2621 states/eV/atom

Unit cell a=4.672 b=4.672 c=4.672 alpha=90.00 beta=90.00 gamma=90.00
Space group Pm-3m (No. 221)
Symmetry-distinct sites (fractional):
Sc 0.000 0.000 0.000
In 0.500 0.500 0.500
Mo 0.000 0.000 0.500

=====

x) Material: ScInMo3
Method: DFT, PBE-GGA
State: optimized geometry

Calculated values
- Density of states at the Fermi level: 1.7215 states/eV/atom

Unit cell a=4.903 b=4.903 c=4.903 alpha=90.00 beta=90.00 gamma=90.00
Space group Pm-3m (No. 221)
Symmetry-distinct sites (fractional):
Sc 0.000 0.000 0.000
In 0.500 0.500 0.500
Mo 0.000 0.500 0.500

=====

Energy comparison, zero being the most stable, in meV per atom: w) 0; x) 281.

=====

w) Material: InMo3Se
Method: DFT, PBE-GGA
State: optimized geometry

Calculated values
- Density of states at the Fermi level: 1.7199 states/eV/atom

Unit cell a=4.931 b=4.931 c=4.931 alpha=90.00 beta=90.00 gamma=90.00
Space group Pm-3m (No. 221)
Symmetry-distinct sites (fractional):
In 0.000 0.000 0.000
Mo 0.000 0.000 0.500
Se 0.500 0.500 0.500

=====

x) Material: InMo3Se
Method: DFT, PBE-GGA
State: optimized geometry

Calculated values
- Density of states at the Fermi level: 1.0697 states/eV/atom

Unit cell a=4.630 b=4.630 c=4.630 alpha=90.00 beta=90.00 gamma=90.00
Space group Pm-3m (No. 221)
Symmetry-distinct sites (fractional):
In 0.000 0.000 0.000
Mo 0.000 0.500 0.500
Se 0.500 0.500 0.500

=====

Energy comparison, zero being the most stable, in meV per atom: w) 1559; x) 0.

=====

w) Material: InMoSe
Method: DFT, PBE-GGA
State: optimized geometry

Calculated values
- Density of states at the Fermi level: 1.4064 states/eV/atom

Unit cell a=6.462 b=6.462 c=6.462 alpha=90.00 beta=90.00 gamma=90.00
Space group F-43m (No. 216)
Symmetry-distinct sites (fractional):
In 0.000 0.000 0.000
Mo 0.250 0.250 0.250
Se 0.000 0.000 0.500

=====

x) Material: InMoSe
Method: DFT, PBE-GGA
State: optimized geometry

Calculated values
- Density of states at the Fermi level: 0.7865 states/eV/atom

Unit cell a=3.113 b=3.113 c=12.516 alpha=90.00 beta=90.00 gamma=90.00
Space group I4mm (No. 107)
Symmetry-distinct sites (fractional):
In 0.000 0.000 0.000
Mo 0.000 0.000 0.334
Se 0.000 0.000 0.726

=====

y) Material: InMoSe
Method: DFT, PBE-GGA
State: optimized geometry

Calculated values
- Density of states at the Fermi level: 0.7674 states/eV/atom

Unit cell a=3.2809 b=3.2809 c=6.4564 alpha=90.00 beta=90.00 gamma=120.00
Space group P3m1 (No. 156)
Symmetry-distinct sites (fractional):
In 0.0000 0.0000 0.0000
Mo 0.3333 0.6667 0.3406
Se 0.6667 0.3333 0.5937

=====

z) Material: InMoSe
Method: DFT, PBE-GGA
State: optimized geometry

Calculated values
- Density of states at the Fermi level: 1.0679 states/eV/atom

Unit cell a=4.3577 b=4.3577 c=3.6195 alpha=90.00 beta=90.00 gamma=120.00
Space group P-6m2 (No. 187)
Symmetry-distinct sites (fractional):
In 0.0000 0.0000 0.0000
Mo 0.3333 0.6667 0.5000
Se 0.6667 0.3333 0.5000

=====

Energy comparison, zero being the most stable, in meV per atom: w) 675; x) 75; y) 0; z) 372.

=====

w) Material: In3MoSe
Method: DFT, PBE-GGA
State: optimized geometry

Calculated values
- Density of states at the Fermi level: 0.6335 states/eV/atom

Unit cell a=5.373 b=5.373 c=5.373 alpha=90.00 beta=90.00 gamma=90.00
Space group Pm-3m (No. 221)
Symmetry-distinct sites (fractional):
In 0.000 0.000 0.500
Mo 0.000 0.000 0.000
Se 0.500 0.500 0.500

=====

x) Material: In3MoSe
Method: DFT, PBE-GGA
State: optimized geometry

Calculated values
- Density of states at the Fermi level: 1.3116 states/eV/atom

Unit cell a=5.224 b=5.224 c=5.224 alpha=90.00 beta=90.00 gamma=90.00
Space group Pm-3m (No. 221)
Symmetry-distinct sites (fractional):
In 0.000 0.000 0.500
Mo 0.500 0.500 0.500
Se 0.000 0.000 0.000

=====

Energy comparison, zero being the most stable, in meV per atom: w) 0; x) 699.

=====

w) Material: In2Mo2Se
Method: DFT, PBE-GGA
State: optimized geometry

Calculated values
- Density of states at the Fermi level: 0.8610 states/eV/atom

Unit cell a=6.558 b=6.558 c=4.621 alpha=90.00 beta=90.00 gamma=90.00
Space group P4/mbm (No. 127)
Symmetry-distinct sites (fractional):
In 0.167 0.333 0.000
Mo 0.134 0.634 0.500
Se 0.000 0.000 0.500

=====

x) Material: In2Mo2Se
Method: DFT, PBE-GGA
State: optimized geometry

Calculated values
- Density of states at the Fermi level: 0.9474 states/eV/atom

Unit cell a=3.868 b=3.868 c=13.767 alpha=90.00 beta=90.00 gamma=90.00
Space group I4/mmm (No. 139)
Symmetry-distinct sites (fractional):
In 0.000 0.500 0.250
Mo 0.000 0.000 0.087
Se 0.000 0.000 0.500

=====

Energy comparison, zero being the most stable, in meV per atom: w) 0; x) 416.